(1)
Density functional theory data (PBE+U) for crystalline LiVSiO4 at its relaxed geometry.

Cell lengths 5.1179, 10.4336, 6.8156 Å; angles 90.00, 88.80, 90.00 degrees
Each line ends with the local moment (μB).
Atoms (fractional coordinates):
Si: 0.6863 0.0931 0.7603  0.01
V: 0.8165 0.8346 0.9869  1.90
V: 0.1834 0.1654 0.0131  1.90
O: 0.8058 0.1613 0.5597  -0.01
O: 0.6305 0.8791 0.2303  0.00
O: 0.2529 0.5609 0.2577  -0.01
O: 0.8695 0.3791 0.2697  0.00
O: 0.6837 0.6641 0.5481  0.00
O: 0.3695 0.1209 0.7697  0.00
O: 0.3164 0.3359 0.4519  0.00
O: 0.3059 0.3387 0.0597  -0.01
Li: 0.1901 0.1506 0.5077  0.00
Si: 0.3137 0.9069 0.2397  0.01
V: 0.6834 0.3346 0.5131  1.90
Si: 0.8137 0.5931 0.7397  0.01
V: 0.3166 0.6654 0.4869  1.90
Si: 0.1863 0.4069 0.2603  0.01
Li: 0.6901 0.3494 0.0076  0.00
O: 0.6942 0.6613 0.9403  -0.01
Li: 0.3099 0.6506 0.9923  0.00
O: 0.2471 0.0609 0.2422  -0.01
O: 0.8163 0.1641 0.9519  0.00
O: 0.7472 0.4391 0.7422  -0.01
Li: 0.8099 0.8494 0.4924  0.00
O: 0.1836 0.8359 0.0481  0.00
O: 0.7528 0.9391 0.7578  -0.01
O: 0.1941 0.8387 0.4403  -0.01
O: 0.1305 0.6209 0.7303  0.00

Calculated values
- spin magnetization (μB/cell) = 8.00
- space group = No. 14
- energy (eV/atom) = -7.30

=====

(2)
Density functional theory data (PBE+U) for crystalline LiVSiO5 at its relaxed geometry.

Cell lengths 6.3246, 6.3246, 4.6718 Å; angles 90.00, 90.00, 90.03 degrees
Atoms (fractional coordinates):
Si: 0.7500 0.7500 0.0000
O: 0.7500 0.2500 0.7523
Li: 0.0000 0.5000 0.5000
Si: 0.2500 0.2500 0.0000
O: 0.5402 0.7552 0.7920
Li: 0.5000 0.0000 0.5000
O: 0.2552 0.0402 0.7920
O: 0.4598 0.2448 0.2080
O: 0.0402 0.2552 0.2080
V: 0.7500 0.2500 0.1017
O: 0.2500 0.7500 0.2477
V: 0.2500 0.7500 0.8983
O: 0.7552 0.5402 0.2080
O: 0.7448 0.9598 0.2080
O: 0.2448 0.4598 0.7920
O: 0.9598 0.7448 0.7920

Calculated values
- spin magnetization (μB/cell) = 0.00
- space group = No. 67
- energy (eV/atom) = -7.18

=====

(3)
Density functional theory data (PBE+U) for crystalline LiV2Si2O8 at its relaxed geometry.

Cell lengths 4.8766, 5.8442, 10.1107 Å; angles 90.00, 90.00, 89.63 degrees
Each line ends with the local moment (μB).
Atoms (fractional coordinates):
O: 0.0097 0.7951 0.6355  -0.01
V: 0.2432 0.5100 0.5652  1.90
Si: 0.6891 0.5034 0.3936  0.01
O: 0.8904 0.9875 0.3642  -0.05
O: 0.5827 0.5047 0.2414  -0.01
O: 0.5266 0.2830 0.4673  0.00
O: 0.4630 0.2884 0.9813  -0.01
V: 0.2569 0.9907 0.0324  1.09
O: 0.0193 0.4874 0.4049  -0.01
V: 0.7431 0.0093 0.5324  1.09
O: 0.0183 0.2166 0.6228  -0.02
Si: 0.1808 0.0114 0.7053  0.00
Si: 0.8192 0.9886 0.2053  0.00
O: 0.5104 0.9961 0.6812  -0.03
O: 0.9903 0.2049 0.1355  -0.01
O: 0.4896 0.0039 0.1812  -0.03
O: 0.1096 0.0125 0.8642  -0.05
O: 0.9817 0.7834 0.1228  -0.02
Si: 0.3109 0.4966 0.8936  0.01
V: 0.7568 0.4900 0.0652  1.90
O: 0.5370 0.7116 0.4813  -0.01
O: 0.4173 0.4953 0.7414  -0.01
O: 0.9807 0.5126 0.9049  -0.01
O: 0.4734 0.7170 0.9673  0.00
Li: 0.7431 0.6982 0.7817  0.00
Li: 0.2569 0.3018 0.2817  0.00

Calculated values
- spin magnetization (μB/cell) = 6.00
- space group = No. 4
- energy (eV/atom) = -7.52